[1]
This record from Alexandria describes CaMoBr2 after structural relaxation. The functional is GGA-PBE.

```
CaMoBr2
1.0
0.0000 3.4908 3.4908
3.4908 0.0000 3.4908
3.4908 3.4908 0.0000
Mo Ca Br
1 1 2
direct
0.5000 0.5000 0.5000 Mo
0.0000 0.0000 0.0000 Ca
0.2500 0.2500 0.2500 Br
0.7500 0.7500 0.7500 Br
```

**VASP energy**: -4.02 eV/atom
**DOS(E_F)**: 3.0 states/eV per cell
**Relative energy among the computed polymorphs**: 321.7 meV per atom
**Total moment**: 2.0 Bohr magnetons per cell
**ΔE_f (raw)**: 0.11 eV per formula unit
**Space-group type**: Fm-3m, No. 225

***

[2]
This record from Alexandria describes Ca2MoBr after structural relaxation. The functional is GGA-PBE.

```
Ca2MoBr
1.0
8.1017 0.0000 0.0000
0.0000 8.1017 0.0000
4.0508 4.0508 3.8489
Mo Ca Br
2 4 2
direct
0.0000 0.0000 0.0000 Mo
0.7500 0.2500 0.5000 Mo
0.6060 0.1250 0.2500 Ca
0.1440 0.6250 0.2500 Ca
0.3750 0.3940 0.7500 Ca
0.8750 0.8560 0.7500 Ca
0.5000 0.5000 0.0000 Br
0.2500 0.7500 0.5000 Br
```

**VASP energy**: -3.75 eV/atom
**DOS(E_F)**: 8.1 states/eV per cell
**Relative energy among the computed polymorphs**: 465.2 meV per atom
**Total moment**: 8.0 Bohr magnetons per cell
**ΔE_f (raw)**: 1.51 eV per formula unit
**Space-group type**: I-42d, No. 122

***

[3]
This record from Alexandria describes Ca2MoBr after structural relaxation. The functional is GGA-PBE.

```
Ca2MoBr
1.0
-1.2601 3.2172 8.7003
-2.1844 -0.2268 9.1000
1.2702 0.7321 9.2457
Mo Ca Br
1 2 1
direct
0.2500 0.2500 0.2500 Mo
0.9989 0.9989 0.9989 Ca
0.5011 0.5011 0.5011 Ca
0.7500 0.7500 0.7500 Br
```

**VASP energy**: -4.18 eV/atom
**DOS(E_F)**: 2.8 states/eV per cell
**Relative energy among the computed polymorphs**: 38.1 meV per atom
**Total moment**: 1.2 Bohr magnetons per cell
**ΔE_f (raw)**: -0.20 eV per formula unit
**Space-group type**: R-3m, No. 166

***

[4]
This record from Alexandria describes Ca2MoBr after structural relaxation. The functional is GGA-PBE.

```
Ca2MoBr
1.0
3.3601 0.0000 0.0000
0.0000 3.3600 0.0240
0.0000 3.2980 8.7739
Mo Ca Br
1 2 1
direct
0.5000 0.2500 0.2500 Mo
0.0000 0.9916 0.0087 Ca
0.0000 0.5084 0.4913 Ca
0.5000 0.7500 0.7500 Br
```

**VASP energy**: -4.21 eV/atom
**DOS(E_F)**: 2.6 states/eV per cell
**Relative energy among the computed polymorphs**: 0.3 meV per atom
**Total moment**: 0.4 Bohr magnetons per cell
**ΔE_f (raw)**: -0.35 eV per formula unit
**Space-group type**: P4/mmm, No. 123

***

[5]
This record from Alexandria describes Ca2MoBr after structural relaxation. The functional is GGA-PBE.

```
Ca2MoBr
1.0
-5.1395 -0.5867 1.6886
-3.0087 4.3896 1.1353
-4.1157 1.3983 -3.2734
Mo Ca Br
1 2 1
direct
0.5000 0.5000 0.5000 Mo
0.2500 0.2500 0.2500 Ca
0.7500 0.7500 0.7500 Ca
0.0000 0.0000 0.0000 Br
```

**VASP energy**: -3.70 eV/atom
**DOS(E_F)**: 6.4 states/eV per cell
**Relative energy among the computed polymorphs**: 517.2 meV per atom
**Total moment**: 3.8 Bohr magnetons per cell
**ΔE_f (raw)**: 1.72 eV per formula unit
**Space-group type**: Fm-3m, No. 225

***

[6]
This record from Alexandria describes CaMoBr after structural relaxation. The functional is GGA-PBE.

```
CaMoBr
1.0
4.8754 0.0000 0.0000
2.4377 4.2222 0.0000
2.4377 1.4074 3.9807
Mo Ca Br
1 1 1
direct
0.5000 0.5000 0.5000 Mo
0.0000 0.0000 0.0000 Ca
0.7500 0.7500 0.7500 Br
```

**VASP energy**: -4.01 eV/atom
**DOS(E_F)**: 2.8 states/eV per cell
**Relative energy among the computed polymorphs**: 444.9 meV per atom
**Total moment**: 4.1 Bohr magnetons per cell
**ΔE_f (raw)**: 2.47 eV per formula unit
**Space-group type**: F-43m, No. 216